Entry 1:
Material: KHgPO2
Method: DFT, PBE-GGA
State: relaxed

Cell and atoms, written as POSCAR:
```
KHgPO2
1.0
4.5871 0.0000 0.0000
0.0000 4.5871 0.0000
0.0000 0.0000 6.7304
K Hg P O
1 1 1 2
Cartesian
0.0000 0.0000 0.0000
2.2936 2.2936 3.3652
0.0000 0.0000 3.3652
0.0000 2.2936 0.0000
2.2936 0.0000 0.0000
```

## Properties
density	3.549	g/cm³
E_tot	-2.341	eV/atom
uncorrected formation energy	1.004	eV/atom
crystal system	tetragonal
E above lowest polymorph	653	meV/atom



Entry 2:
Material: La3MgTc
Method: DFT, PBE-GGA
State: relaxed

Cell and atoms, written as POSCAR:
```
La3MgTc
1.0
0.0000 5.2794 8.2368
3.4213 0.0000 8.2368
3.4213 5.2794 0.0000
La Mg Tc
6 2 2
Cartesian
3.4213 3.1769 6.3852
3.4213 5.2794 3.3629
3.4213 3.1769 10.0883
3.4213 7.3819 6.3852
3.4213 5.2794 13.1106
3.4213 7.3819 10.0883
5.4235 5.2794 8.2368
1.4192 5.2794 8.2368
1.7107 2.6397 4.1184
5.1320 7.9191 12.3551
```

## Properties
density	6.016	g/cm³
E_tot	-5.388	eV/atom
ΔE_f	-0.04	eV/atom
crystal system	orthorhombic
E above lowest polymorph	0	meV/atom